Record 1
A relaxed In3Ag crystal, computed with PBE.

The structure belongs to space group P6_3/mmc (No. 194); the cell edges are 6.4726, 6.4726 and 16.0167 Å and the angles 90.00°, 90.00° and 120.00°. Symmetry generates all atoms from In at (0.0075, 0.5037, 0.2500), In at (0.1670, 0.3340, 0.5838), Ag at (0.0000, 0.0000, 0.2500) and Ag at (0.3333, 0.6667, 0.0792).

As for the total energy: -0.0992 hartree per atom.

=====

Record 2
A relaxed In2Ag crystal, computed with PBE.

The structure belongs to space group I4_1/amd (No. 141, origin choice 2); the cell edges are 3.234, 3.234 and 26.825 Å and the angles 90.00°, 90.00° and 90.00°. Symmetry generates all atoms from In at (0.000, 0.250, 0.301) and Ag at (0.000, 0.250, 0.875).

As for the total energy: -0.1015 hartree per atom.

=====

Record 3
A relaxed InAg5 crystal, computed with PBE.

The structure belongs to space group P2_1/m (No. 11); the cell edges are 5.120, 9.041 and 5.145 Å and the angles 90.00°, 110.16° and 90.00°. Symmetry generates all atoms from In at (0.001, 0.250, 0.251), Ag at (0.000, 0.084, 0.750), Ag at (0.499, 0.750, 0.249) and Ag at (0.500, 0.082, 0.250).

The calculation puts the energy relative to the lowest polymorph listed for this composition at 0.00 eV per formula unit. As for the total energy: -0.1048 hartree per atom.

=====

Record 4
A relaxed In6Ag crystal, computed with PBE.

The structure belongs to space group Im-3m (No. 229); the cell edges are 8.165, 8.165 and 8.165 Å and the angles 90.00°, 90.00° and 90.00°. Symmetry generates all atoms from In at (0.000, 0.250, 0.500) and Ag at (0.000, 0.000, 0.000).

The calculation puts the energy relative to the lowest polymorph listed for this composition at 3.69 eV per formula unit. As for the total energy: -0.0804 hartree per atom.

=====

Record 5
A relaxed In3Ag crystal, computed with PBE.

The structure belongs to space group Cmcm (No. 63); the cell edges are 8.114, 10.270 and 4.766 Å and the angles 90.00°, 90.00° and 90.00°. Symmetry generates all atoms from In at (0.000, 0.118, 0.250), In at (0.208, 0.393, 0.250) and Ag at (0.000, 0.312, 0.750).

As for the total energy: -0.1002 hartree per atom.

=====

Record 6
A relaxed In2Ag crystal, computed with PBE.

The structure belongs to space group I4/mcm (No. 140); the cell edges are 6.996, 6.996 and 5.687 Å and the angles 90.00°, 90.00° and 90.00°. Symmetry generates all atoms from In at (0.154, 0.346, 0.000) and Ag at (0.000, 0.000, 0.250).

As for the total energy: -0.1032 hartree per atom.

=====

Record 7
A relaxed In3Ag crystal, computed with PBE.

The structure belongs to space group Immm (No. 71); the cell edges are 3.656, 5.415 and 10.009 Å and the angles 90.00°, 90.00° and 90.00°. Symmetry generates all atoms from In at (0.000, 0.000, 0.000), In at (0.000, 0.500, 0.232) and Ag at (0.000, 0.000, 0.500).

As for the total energy: -0.0992 hartree per atom.

=====

Record 8
A relaxed InAg crystal, computed with PBE.

The structure belongs to space group I-43m (No. 217); the cell edges are 8.703, 8.703 and 8.703 Å and the angles 90.00°, 90.00° and 90.00°. Symmetry generates all atoms from In at (0.133, 0.133, 0.867) and Ag at (0.188, 0.188, 0.188).

As for the total energy: -0.0869 hartree per atom.

=====

Record 9
A relaxed In2Ag crystal, computed with PBE.

The structure belongs to space group Cmcm (No. 63); the cell edges are 4.172, 13.971 and 4.822 Å and the angles 90.00°, 90.00° and 90.00°. Symmetry generates all atoms from In at (0.000, 0.078, 0.250), In at (0.000, 0.238, 0.750) and Ag at (0.000, 0.426, 0.250).

As for the total energy: -0.1001 hartree per atom.

=====

Record 10
A relaxed In2Ag7 crystal, computed with PBE.

The structure belongs to space group R-3m (No. 166, hexagonal axes); the cell edges are 5.5902, 5.5902 and 42.0735 Å and the angles 90.00°, 90.00° and 120.00°. Symmetry generates all atoms from In at (0.0000, 0.0000, 0.0412), In at (0.0000, 0.0000, 0.1493), Ag at (0.0000, 0.0000, 0.2767), Ag at (0.0000, 0.0000, 0.3901), Ag at (0.0000, 0.0000, 0.5000), Ag at (0.0000, 0.5000, 0.0000) and Ag at (0.0037, 0.5018, 0.8870).

As for the total energy: -0.1006 hartree per atom.

=====

Record 11
A relaxed InAg crystal, computed with PBE.

The structure belongs to space group Pnma (No. 62); the cell edges are 6.093, 4.683 and 6.006 Å and the angles 90.00°, 90.00° and 90.00°. Symmetry generates all atoms from In at (0.142, 0.250, 0.130) and Ag at (0.041, 0.250, 0.648).

As for the total energy: -0.1027 hartree per atom.

=====

Record 12
A relaxed In5Ag4 crystal, computed with PBE.

The structure belongs to space group I4/mmm (No. 139); the cell edges are 9.523, 9.523 and 4.398 Å and the angles 90.00°, 90.00° and 90.00°. Symmetry generates all atoms from In at (0.000, 0.000, 0.000), In at (0.172, 0.172, 0.500) and Ag at (0.000, 0.346, 0.000).

The calculation puts the energy relative to the lowest polymorph listed for this composition at 0.19 eV per formula unit. As for the total energy: -0.1006 hartree per atom.

=====

| no. | energy relative to the elements (eV per formula unit) |
| --- | --- |
| 1 | 0.3 |
| 2 | 0.0 |
| 3 | -0.1 |
| 4 | 4.0 |
| 5 | 0.2 |
| 6 | -0.1 |
| 7 | 0.3 |
| 8 | 0.9 |
| 9 | 0.2 |
| 10 | 0.8 |
| 11 | 0.0 |
| 12 | 0.5 |